Model one:
Density functional theory data (meta-GGA SCAN) for TlRe2Si at its PBEsol-relaxed geometry.

a b c (Å): 6.3752 6.3752 6.3752
angles (deg): 90.00 90.00 90.00
Last column: nearest neighbours and their distance in Å.
Space group F-43m (No. 216)
Inequivalent atoms, fractional coordinates:
Tl: 0.0000 0.0000 0.0000 x4  4 Re 2.76, 4 Si 2.76
Re: 0.0000 0.0000 0.5000 x4  4 Si 2.76, 4 Re 2.76
Re: 0.2500 0.2500 0.7500 x4  4 Tl 2.76, 4 Re 2.76
Si: 0.2500 0.2500 0.2500 x4  4 Tl 2.76, 4 Re 2.76

Results
* density: 15.51 g/cm³
* total magnetic moment: 0.0 Bohr magnetons per cell


Model two:
Density functional theory data (meta-GGA SCAN) for TlRe2Si at its PBEsol-relaxed geometry.

a b c (Å): 6.2659 6.2659 6.2659
angles (deg): 90.00 90.00 90.00
Last column: nearest neighbours and their distance in Å.
Space group Fm-3m (No. 225)
Inequivalent atoms, fractional coordinates:
Tl: 0.0000 0.0000 0.0000 x4  8 Re 2.71
Re: 0.2500 0.2500 0.2500 x8  4 Si 2.71, 4 Tl 2.71
Si: 0.0000 0.0000 0.5000 x4  8 Re 2.71

Results
* density: 16.33 g/cm³
* total magnetic moment: 0.0 Bohr magnetons per cell


model two ends up most stable, edging out the next structure by 0.101 eV/atom.


Model one:
Density functional theory data (meta-GGA SCAN) for SrReTc2 at its PBEsol-relaxed geometry.

a b c (Å): 4.6669 4.6669 3.0657
angles (deg): 90.00 90.00 90.00
Last column: nearest neighbours and their distance in Å.
Space group P4/mmm (No. 123)
Inequivalent atoms, fractional coordinates:
Sr: 0.0000 0.0000 0.0000 x1  8 Tc 2.79, 2 Sr 3.07
Re: 0.5000 0.5000 0.0000 x1  8 Tc 2.79, 2 Re 3.07
Tc: 0.0000 0.5000 0.5000 x2  4 Re 2.79, 4 Sr 2.79, 2 Tc 3.07

Results
* density: 11.68 g/cm³
* total magnetic moment: 0.0 Bohr magnetons per cell


Model two:
Density functional theory data (meta-GGA SCAN) for SrReTc2 at its PBEsol-relaxed geometry.

a b c (Å): 2.8512 4.0616 6.6982
angles (deg): 90.00 101.60 90.00
Last column: nearest neighbours and their distance in Å.
Space group P2/m (No. 10)
Inequivalent atoms, fractional coordinates:
Sr: 0.0000 0.0000 0.0000 x1  2 Sr 2.85
Re: 0.0000 0.0000 0.5000 x1  4 Tc 2.51
Tc: 0.4066 0.5000 0.6741 x2  1 Tc 2.49, 2 Re 2.51

Results
* density: 10.27 g/cm³
* total magnetic moment: 0.0 Bohr magnetons per cell


Model three:
Density functional theory data (meta-GGA SCAN) for SrReTc2 at its PBEsol-relaxed geometry.

a b c (Å): 9.2387 3.0008 5.8511
angles (deg): 90.00 103.66 90.00
Last column: nearest neighbours and their distance in Å.
Space group C2/m (No. 12)
Inequivalent atoms, fractional coordinates:
Sr: 0.0000 0.0000 0.0000 x2  2 Sr 3.00, 6 Tc 3.16-3.27, 4 Re 3.29
Re: 0.0000 0.5000 0.5000 x2  4 Tc 2.49
Tc: 0.2163 0.0000 0.6542 x4  2 Re 2.49, 2 Tc 2.54

Results
* density: 9.90 g/cm³
* total magnetic moment: 0.0 Bohr magnetons per cell


model three ends up most stable, edging out the next structure by 0.058 eV/atom.


Model one:
Density functional theory data (meta-GGA SCAN) for SrZn2Re at its PBEsol-relaxed geometry.

a b c (Å): 2.8449 3.8604 6.6109
angles (deg): 90.00 90.00 90.00
Last column: nearest neighbours and their distance in Å.
Space group Pmmm (No. 47)
Inequivalent atoms, fractional coordinates:
Sr: 0.0000 0.0000 0.0000 x1  2 Sr 2.84, 8 Zn 3.17
Zn: 0.5000 0.5000 0.3135 x2  1 Zn 2.47, 4 Re 2.70
Re: 0.0000 0.0000 0.5000 x1  8 Zn 2.70, 2 Re 2.84

Results
* density: 9.25 g/cm³
* total magnetic moment: 0.0 Bohr magnetons per cell


Model two:
Density functional theory data (meta-GGA SCAN) for SrZn2Re at its PBEsol-relaxed geometry.

a b c (Å): 6.6782 6.6782 6.6782
angles (deg): 90.00 90.00 90.00
Last column: nearest neighbours and their distance in Å.
Space group F-43m (No. 216)
Inequivalent atoms, fractional coordinates:
Sr: 0.0000 0.0000 0.0000 x4  4 Re 2.89, 4 Zn 2.89
Zn: 0.0000 0.0000 0.5000 x4  4 Re 2.89, 4 Zn 2.89
Zn: 0.2500 0.2500 0.2500 x4  4 Sr 2.89, 4 Zn 2.89
Re: 0.2500 0.2500 0.7500 x4  4 Sr 2.89, 4 Zn 2.89

Results
* density: 9.02 g/cm³
* total magnetic moment: 3.9 Bohr magnetons per cell


model one ends up most stable, edging out the next structure by 0.687 eV/atom.


Model one:
Density functional theory data (meta-GGA SCAN) for SrZrRe2 at its PBEsol-relaxed geometry.

a b c (Å): 5.8321 9.6382 2.7645
angles (deg): 90.00 108.45 90.00
Last column: nearest neighbours and their distance in Å.
Space group C2/m (No. 12)
Inequivalent atoms, fractional coordinates:
Sr: 0.0000 0.0000 0.0000 x2  2 Sr 2.76, 2 Zr 2.92, 4 Re 2.93
Zr: 0.0000 0.5000 0.0000 x2  2 Zr 2.76, 2 Sr 2.92, 4 Re 2.93
Re: 0.2500 0.2500 0.5000 x4  4 Re 2.76-2.92, 2 Sr 2.93, 2 Zr 2.93

Results
* density: 12.42 g/cm³
* total magnetic moment: 0.0 Bohr magnetons per cell


Model two:
Density functional theory data (meta-GGA SCAN) for SrZrRe2 at its PBEsol-relaxed geometry.

a b c (Å): 3.5493 3.5493 7.0831
angles (deg): 90.00 90.00 90.00
Last column: nearest neighbours and their distance in Å.
Space group P4/mmm (No. 123)
Inequivalent atoms, fractional coordinates:
Sr: 0.0000 0.0000 0.0000 x1  8 Re 3.43, 2 Zr 3.54, 4 Sr 3.55
Zr: 0.0000 0.0000 0.5000 x1  8 Re 2.78
Re: 0.5000 0.5000 0.3299 x2  1 Re 2.41

Results
* density: 10.26 g/cm³
* total magnetic moment: 0.0 Bohr magnetons per cell


model two ends up most stable, edging out the next structure by 0.363 eV/atom.


Model one:
Density functional theory data (meta-GGA SCAN) for Sr2ZrRe at its PBEsol-relaxed geometry.

a b c (Å): 7.3886 7.3886 7.3886
angles (deg): 90.00 90.00 90.00
Last column: nearest neighbours and their distance in Å.
Space group Fm-3m (No. 225)
Inequivalent atoms, fractional coordinates:
Sr: 0.2500 0.2500 0.2500 x8  4 Re 3.20, 4 Zr 3.20
Zr: 0.0000 0.0000 0.0000 x4  8 Sr 3.20
Re: 0.0000 0.0000 0.5000 x4  8 Sr 3.20

Results
* density: 7.45 g/cm³
* total magnetic moment: 0.9 Bohr magnetons per cell


Model two:
Density functional theory data (meta-GGA SCAN) for Sr2ZrRe at its PBEsol-relaxed geometry.

a b c (Å): 3.4974 3.4974 9.5910
angles (deg): 90.00 90.00 90.00
Last column: nearest neighbours and their distance in Å.
Space group P4mm (No. 99)
Inequivalent atoms, fractional coordinates:
Sr: 0.0000 0.0000 0.0000 x1  4 Re 3.27, 1 Zr 3.30, 4 Sr 3.50
Sr: 0.5000 0.5000 0.3767 x1  4 Sr 3.50, 4 Zr 3.64, 1 Re 3.83
Zr: 0.0000 0.0000 0.6556 x1  4 Re 2.73
Re: 0.5000 0.5000 0.7764 x1  4 Zr 2.73

Results
* density: 6.41 g/cm³
* total magnetic moment: 0.2 Bohr magnetons per cell


model two ends up most stable, edging out the next structure by 1.094 eV/atom.


Model one:
Density functional theory data (meta-GGA SCAN) for Ta2Re3 at its PBEsol-relaxed geometry.

a b c (Å): 2.9141 2.9141 32.6946
angles (deg): 90.00 90.00 120.00
Last column: nearest neighbours and their distance in Å.
Space group R-3m (No. 166, hexagonal axes)
Inequivalent atoms, fractional coordinates:
Ta: 0.0000 0.0000 0.1008 x6  6 Re 2.73-2.82, 6 Ta 2.91
Re: 0.0000 0.0000 0.3019 x6  9 Re 2.66-2.91, 3 Ta 2.82
Re: 0.0000 0.0000 0.5000 x3  6 Ta 2.73, 6 Re 2.91

Results
* density: 19.07 g/cm³
* total magnetic moment: 0.0 Bohr magnetons per cell


Model two:
Density functional theory data (meta-GGA SCAN) for Ta2Re3 at its PBEsol-relaxed geometry.

a b c (Å): 4.3438 4.3438 5.3567
angles (deg): 90.00 90.00 120.00
Last column: nearest neighbours and their distance in Å.
Space group P-3m1 (No. 164)
Inequivalent atoms, fractional coordinates:
Ta: 0.3333 0.6667 0.3297 x2  8 Re 2.60-2.75
Re: 0.0000 0.0000 0.5000 x1  6 Ta 2.67
Re: 0.3333 0.6667 0.8436 x2  5 Ta 2.60-2.75

Results
* density: 17.46 g/cm³
* total magnetic moment: 0.0 Bohr magnetons per cell


model one ends up most stable, edging out the next structure by 0.299 eV/atom.